Record 1
Computed, not measured: Cr2TcAs after structural relaxation at the GGA-PBE level of DFT.

## Properties
space group: I-4m2
Fermi-level density of states: 1.163 states/eV per atom
formation energy: 81 meV/atom

Cell: 4.832 4.832 4.832 Å, 136.04 136.04 63.92°
Last column: magnetic moment on the atom in μB.
Atoms (fractional coordinates):
Tc 0.500 0.500 0.000  0.04
Cr 0.250 0.750 0.500  1.79
Cr 0.000 0.000 0.000  -1.66
As 0.750 0.250 0.500  -0.02

***

Record 2
Computed, not measured: CrTcAs2 after structural relaxation at the GGA-PBE level of DFT.

## Properties
space group: R-3m
polymorph energy (0 for the lowest one): 245 meV/atom
Fermi-level density of states: 1.277 states/eV per atom
formation energy: 152 meV/atom

Cell: 7.727 7.727 7.727 Å, 22.36 22.36 22.36°
Last column: magnetic moment on the atom in μB.
Atoms (fractional coordinates):
Cr 0.250 0.250 0.250  0.92
As 0.503 0.503 0.503  -0.02
As 0.997 0.997 0.997  -0.02
Tc 0.750 0.750 0.750  0.12

***

Record 3
Computed, not measured: CrTcAs2 after structural relaxation at the GGA-PBE level of DFT.

## Properties
space group: R3m
polymorph energy (0 for the lowest one): 188 meV/atom
Fermi-level density of states: 0.930 states/eV per atom
formation energy: 95 meV/atom

Cell: 10.312 10.312 10.312 Å, 16.02 16.02 16.02°
Last column: magnetic moment on the atom in μB.
Atoms (fractional coordinates):
Tc 0.760 0.760 0.760  0.00
As 0.221 0.221 0.221  -0.03
As 0.027 0.027 0.027  0.01
Cr 0.492 0.492 0.492  0.72

***

Record 4
Computed, not measured: CrTc2As after structural relaxation at the GGA-PBE level of DFT.

## Properties
space group: P4mm
Fermi-level density of states: 1.168 states/eV per atom
formation energy: 51 meV/atom

Cell: 2.959 2.959 6.313 Å, 90.00 90.00 90.00°
Atoms (fractional coordinates):
Cr 0.500 0.500 0.736
Tc 0.000 0.000 0.988
Tc 0.500 0.500 0.257
As 0.000 0.000 0.519

***

Record 5
Computed, not measured: Cr2TcAs after structural relaxation at the GGA-PBE level of DFT.

## Properties
space group: Pm
Fermi-level density of states: 0.723 states/eV per atom
formation energy: 146 meV/atom

Cell: 3.977 2.787 4.891 Å, 83.95 90.00 90.00°
Atoms (fractional coordinates):
As 0.500 0.962 0.731
Tc 0.000 0.525 0.510
Cr 0.500 0.129 0.231
Cr 0.000 0.884 0.028

***

Record 6
Computed, not measured: Cr2TcAs after structural relaxation at the GGA-PBE level of DFT.

## Properties
space group: F-43m
Fermi-level density of states: 1.084 states/eV per atom
formation energy: 48 meV/atom

Cell: 4.224 4.224 4.224 Å, 60.00 60.00 60.00°
Last column: magnetic moment on the atom in μB.
Atoms (fractional coordinates):
Tc 0.750 0.750 0.750  -0.32
Cr 0.250 0.250 0.250  -1.64
Cr 0.000 0.000 0.000  1.97
As 0.500 0.500 0.500  0.04

***

Record 7
Computed, not measured: CrTc2As after structural relaxation at the GGA-PBE level of DFT.

## Properties
space group: I-42d
Fermi-level density of states: 0.650 states/eV per atom
formation energy: 913 meV/atom

Cell: 5.740 5.740 6.235 Å, 62.59 62.59 90.00°
Atoms (fractional coordinates):
Tc 0.142 0.625 0.250
Tc 0.608 0.125 0.250
Tc 0.375 0.392 0.750
Tc 0.875 0.858 0.750
Cr 0.500 0.500 0.000
Cr 0.250 0.750 0.500
As 0.000 0.000 0.000
As 0.750 0.250 0.500

***

Record 8
Computed, not measured: Cr2TcAs after structural relaxation at the GGA-PBE level of DFT.

## Properties
space group: Pmm2
Fermi-level density of states: 0.864 states/eV per atom
formation energy: 138 meV/atom

Cell: 2.874 3.856 4.877 Å, 90.00 90.00 90.00°
Last column: magnetic moment on the atom in μB.
Atoms (fractional coordinates):
As 0.500 0.500 0.757  0.00
Cr 0.500 0.500 0.252  -0.87
Cr 0.000 0.000 0.998  1.36
Tc 0.000 0.000 0.493  0.06

***

Record 9
Computed, not measured: Cr2TcAs2 after structural relaxation at the GGA-PBE level of DFT.

## Properties
space group: P4/mbm
Fermi-level density of states: 0.978 states/eV per atom
formation energy: 87 meV/atom

Cell: 6.692 6.692 3.290 Å, 90.00 90.00 90.00°
Last column: magnetic moment on the atom in μB.
Atoms (fractional coordinates):
Tc 0.500 0.500 0.000  -0.04
Tc 0.000 0.000 0.000  -0.03
As 0.652 0.152 0.000  -0.09
As 0.152 0.348 0.000  -0.09
As 0.348 0.848 0.000  -0.09
As 0.848 0.652 0.000  -0.09
Cr 0.352 0.148 0.500  2.54
Cr 0.148 0.648 0.500  2.57
Cr 0.852 0.352 0.500  2.57
Cr 0.648 0.852 0.500  2.54

***

Record 10
Computed, not measured: Cr2TcAs after structural relaxation at the GGA-PBE level of DFT.

## Properties
space group: R3m
Fermi-level density of states: 0.984 states/eV per atom
formation energy: 248 meV/atom

Cell: 8.054 8.054 8.054 Å, 20.19 20.19 20.19°
Atoms (fractional coordinates):
Tc 0.503 0.503 0.503
As 0.747 0.747 0.747
Cr 0.256 0.256 0.256
Cr 0.995 0.995 0.995

***

Record 11
Computed, not measured: Cr2TcAs after structural relaxation at the GGA-PBE level of DFT.

## Properties
space group: P4/mmm
Fermi-level density of states: 1.455 states/eV per atom
formation energy: 200 meV/atom

Cell: 3.761 3.785 3.785 Å, 90.00 90.00 90.00°
Last column: magnetic moment on the atom in μB.
Atoms (fractional coordinates):
As 0.500 0.000 0.500  -0.04
Cr 0.000 0.000 0.000  1.62
Cr 0.000 0.500 0.500  1.62
Tc 0.500 0.500 0.000  -0.25

***

Record 12
Computed, not measured: Cr2TcAs after structural relaxation at the GGA-PBE level of DFT.

## Properties
space group: Cmmm
Fermi-level density of states: 1.347 states/eV per atom
formation energy: 296 meV/atom

Cell: 2.744 2.744 7.671 Å, 90.00 90.00 107.69°
Last column: magnetic moment on the atom in μB.
Atoms (fractional coordinates):
As 0.500 0.500 0.750  -0.05
Cr 0.000 0.000 0.504  1.29
Cr 0.000 0.000 0.996  1.29
Tc 0.500 0.500 0.250  -0.18

***

Record 13
Computed, not measured: CrTcAs2 after structural relaxation at the GGA-PBE level of DFT.

## Properties
space group: Fm-3m
polymorph energy (0 for the lowest one): 126 meV/atom
Fermi-level density of states: 0.951 states/eV per atom
formation energy: 33 meV/atom

Cell: 4.293 4.293 4.293 Å, 60.00 60.00 60.00°
Atoms (fractional coordinates):
As 0.250 0.250 0.250
As 0.750 0.750 0.750
Cr 0.000 0.000 0.000
Tc 0.500 0.500 0.500

***

Record 14
Computed, not measured: CrTcAs2 after structural relaxation at the GGA-PBE level of DFT.

## Properties
space group: F-43m
polymorph energy (0 for the lowest one): 483 meV/atom
Fermi-level density of states: 0.815 states/eV per atom
formation energy: 390 meV/atom

Cell: 4.424 4.424 4.424 Å, 60.00 60.00 60.00°
Last column: magnetic moment on the atom in μB.
Atoms (fractional coordinates):
Cr 0.500 0.500 0.500  2.41
Tc 0.250 0.250 0.250  -0.15
As 0.000 0.000 0.000  0.02
As 0.750 0.750 0.750  -0.03

***

Record 15
Computed, not measured: CrTcAs4 after structural relaxation at the GGA-PBE level of DFT.

## Properties
space group: F-43m
polymorph energy (0 for the lowest one): 888 meV/atom
Fermi-level density of states: 0.685 states/eV per atom
formation energy: 842 meV/atom

Cell: 5.416 5.416 5.416 Å, 60.00 60.00 60.00°
Last column: magnetic moment on the atom in μB.
Atoms (fractional coordinates):
Cr 0.750 0.750 0.750  3.78
As 0.874 0.375 0.375  -0.02
As 0.375 0.375 0.874  -0.02
As 0.375 0.874 0.375  -0.02
As 0.375 0.375 0.375  -0.02
Tc 0.000 0.000 0.000  -2.35

***

Record 16
Computed, not measured: Cr2TcAs after structural relaxation at the GGA-PBE level of DFT.

## Properties
space group: P4/mmm
Fermi-level density of states: 1.183 states/eV per atom
formation energy: 122 meV/atom

Cell: 3.045 3.045 5.686 Å, 90.00 90.00 90.00°
Last column: magnetic moment on the atom in μB.
Atoms (fractional coordinates):
Tc 0.500 0.500 0.250  -0.20
Cr 0.000 0.000 0.992  0.54
Cr 0.000 0.000 0.508  0.54
As 0.500 0.500 0.750  -0.03

***

Record 17
Computed, not measured: CrTcAs after structural relaxation at the GGA-PBE level of DFT.

## Properties
space group: I4mm
polymorph energy (0 for the lowest one): 30 meV/atom
Fermi-level density of states: 0.765 states/eV per atom
formation energy: 42 meV/atom

Cell: 5.059 5.059 2.965 Å, 72.96 72.95 34.08°
Atoms (fractional coordinates):
Cr 0.343 0.343 0.657
As 0.990 0.990 0.010
Tc 0.667 0.667 0.333

***

Record 18
Computed, not measured: Cr2TcAs after structural relaxation at the GGA-PBE level of DFT.

## Properties
space group: P4mm
Fermi-level density of states: 0.813 states/eV per atom
formation energy: 59 meV/atom

Cell: 3.000 3.000 5.810 Å, 90.00 90.00 90.00°
Last column: magnetic moment on the atom in μB.
Atoms (fractional coordinates):
As 0.500 0.500 0.762  0.00
Cr 0.000 0.000 0.011  0.07
Cr 0.500 0.500 0.223  -0.07
Tc 0.000 0.000 0.504  0.02

***

Record 19
Computed, not measured: Cr2TcAs after structural relaxation at the GGA-PBE level of DFT.

## Properties
space group: P2/m
Fermi-level density of states: 0.942 states/eV per atom
formation energy: 104 meV/atom

Cell: 3.846 2.836 5.642 Å, 59.74 90.00 90.00°
Atoms (fractional coordinates):
Cr 0.000 0.016 0.984
Cr 0.000 0.484 0.516
As 0.500 0.750 0.750
Tc 0.500 0.250 0.250

***

Record 20
Computed, not measured: CrTc2As after structural relaxation at the GGA-PBE level of DFT.

## Properties
space group: P4/mmm
Fermi-level density of states: 0.664 states/eV per atom
formation energy: 3 meV/atom

Cell: 3.001 3.001 6.182 Å, 90.00 90.00 90.00°
Last column: magnetic moment on the atom in μB.
Atoms (fractional coordinates):
Tc 0.000 0.000 0.501  -0.21
Tc 0.000 0.000 0.999  -0.21
Cr 0.500 0.500 0.750  1.28
As 0.500 0.500 0.250  0.04